Record 1
## LaErTmTl (GGA-PBE)

Data for a relaxed LaErTmTl crystal.

Calculated values
- density (Mg/m³) = 9.4
- formation energy (kJ per mole of atoms) = -6

Lattice parameters (Å, degrees): 5.5335 5.5335 5.5335 60.00 60.00 60.00
Last column: nearest neighbours and their distance in Å.
Element x y z (fractional)
1 La 0.0000 0.0000 0.0000  4 Tl 3.39, 4 Tm 3.39
2 Er 0.5000 0.5000 0.5000  4 Tl 3.39, 4 Tm 3.39
3 Tm 0.2500 0.2500 0.2500  4 La 3.39, 4 Er 3.39
4 Tl 0.7500 0.7500 0.7500  4 La 3.39, 4 Er 3.39


Record 2
## BMo3As (GGA-PBE)

Data for a relaxed BMo3As crystal.

Calculated values
- density (Mg/m³) = 8.4
- formation energy (kJ per mole of atoms) = 35
- ΔE to the lowest computed polymorph (meV per atom) = 0

Lattice parameters (Å, degrees): 4.1992 4.1992 4.1992 90.00 90.00 90.00
Last column: nearest neighbours and their distance in Å.
Element x y z (fractional)
1 B 0.0000 0.0000 0.0000  6 Mo 2.10
2 Mo 0.0000 0.0000 0.5000  2 B 2.10
3 Mo 0.0000 0.5000 0.0000  2 B 2.10
4 Mo 0.5000 0.0000 0.0000  2 B 2.10
5 As 0.5000 0.5000 0.5000  12 Mo 2.97


Record 3
## Ta6Co5Tc (GGA-PBE)

Data for a relaxed Ta6Co5Tc crystal.

Calculated values
- density (Mg/m³) = 13.7
- formation energy (kJ per mole of atoms) = -15

Lattice parameters (Å, degrees): 6.9164 6.9164 6.2102 90.00 90.00 143.04
Last column: nearest neighbours and their distance in Å.
Element x y z (fractional)
1 Ta 0.0000 0.0000 0.2462  6 Co 2.65-2.70, 2 Tc 2.70
2 Ta 0.0000 0.0000 0.7538  6 Co 2.65-2.70, 2 Tc 2.70
3 Ta 0.3316 0.6684 0.2489  7 Co 2.67-2.70, 1 Tc 2.70
4 Ta 0.3316 0.6684 0.7511  7 Co 2.67-2.70, 1 Tc 2.70
5 Ta 0.6684 0.3316 0.2489  7 Co 2.67-2.70, 1 Tc 2.70
6 Ta 0.6684 0.3316 0.7511  7 Co 2.67-2.70, 1 Tc 2.70
7 Co 0.1650 0.8350 0.0000  8 Ta 2.65-2.68
8 Co 0.1668 0.8332 0.5000  8 Ta 2.67-2.70
9 Co 0.5000 0.5000 0.0000  8 Ta 2.67-2.70
10 Co 0.8332 0.1668 0.5000  8 Ta 2.67-2.70
11 Co 0.8350 0.1650 0.0000  8 Ta 2.65-2.68
12 Tc 0.5000 0.5000 0.5000  8 Ta 2.70


Record 4
## KLaBr4 (GGA-PBE)

Data for a relaxed KLaBr4 crystal.

Calculated values
- formation energy without anion corrections (eV per formula unit) = -11.46
- density (Mg/m³) = 3.0
- ΔE to the lowest computed polymorph (meV per atom) = 0

Lattice parameters (Å, degrees): 10.3441 10.3441 7.6875 100.38 100.38 131.10
Last column: nearest neighbours and their distance in Å.
Element x y z (fractional)
1 K 0.1832 0.8168 0.7500  6 Br 3.35-3.44
2 K 0.8168 0.1832 0.2500  6 Br 3.35-3.44
3 La 0.4314 0.5686 0.7500  6 Br 2.87-3.03
4 La 0.5686 0.4314 0.2500  6 Br 2.87-3.03
5 Br 0.0777 0.4290 0.7266  1 La 2.87
6 Br 0.2448 0.3414 0.3244  2 La 2.99-3.03
7 Br 0.3414 0.2448 0.8244  2 La 2.99-3.03
8 Br 0.4290 0.0777 0.2266  1 La 2.87
9 Br 0.5710 0.9223 0.7734  1 La 2.87
10 Br 0.6586 0.7552 0.1756  2 La 2.99-3.03
11 Br 0.7552 0.6586 0.6756  2 La 2.99-3.03
12 Br 0.9223 0.5710 0.2734  1 La 2.87


Record 5
## LaPm8Dy4 (GGA-PBE)

Data for a relaxed LaPm8Dy4 crystal.

Calculated values
- density (Mg/m³) = 7.3
- formation energy (kJ per mole of atoms) = 16

Lattice parameters (Å, degrees): 10.2298 10.2298 10.2298 42.46 42.46 42.46
Last column: nearest neighbours and their distance in Å.
Element x y z (fractional)
1 La 0.0000 0.0000 0.0000  6 Pm 2.99
2 Pm 0.2496 0.2496 0.6998  1 La 2.99, 2 Pm 3.34
3 Pm 0.2496 0.6998 0.2496  1 La 2.99, 2 Pm 3.34
4 Pm 0.2812 0.2812 0.2812  9 Pm 3.73-3.82, 3 Dy 3.84
5 Pm 0.3002 0.7504 0.7504  1 La 2.99, 2 Pm 3.34
6 Pm 0.6998 0.2496 0.2496  1 La 2.99, 2 Pm 3.34
7 Pm 0.7188 0.7188 0.7188  9 Pm 3.73-3.82, 3 Dy 3.84
8 Pm 0.7504 0.3002 0.7504  1 La 2.99, 2 Pm 3.34
9 Pm 0.7504 0.7504 0.3002  1 La 2.99, 2 Pm 3.34
10 Dy 0.0000 0.0000 0.5000  6 Pm 3.59-3.84, 6 Dy 3.70
11 Dy 0.0000 0.5000 0.0000  6 Pm 3.59-3.84, 6 Dy 3.70
12 Dy 0.5000 0.0000 0.0000  6 Pm 3.59-3.84, 6 Dy 3.70
13 Dy 0.5000 0.5000 0.5000  6 Pm 3.40, 6 Dy 3.70


Record 6
## Fe4CuTc (GGA-PBE)

Data for a relaxed Fe4CuTc crystal.

Calculated values
- density (Mg/m³) = 8.9
- formation energy (kJ per mole of atoms) = 17

Lattice parameters (Å, degrees): 4.6632 4.6632 4.6632 60.00 60.00 60.00
Last column: nearest neighbours and their distance in Å.
Element x y z (fractional)
1 Fe 0.1249 0.1249 0.1249  6 Fe 2.33
2 Fe 0.1249 0.1249 0.6252  6 Fe 2.33
3 Fe 0.1249 0.6252 0.1249  6 Fe 2.33
4 Fe 0.6252 0.1249 0.1249  6 Fe 2.33
5 Cu 0.7500 0.7500 0.7500  12 Fe 2.73, 4 Tc 2.86
6 Tc 0.5000 0.5000 0.5000  12 Fe 2.73, 4 Cu 2.86


Record 7
## LiTm4Zn (GGA-PBE)

Data for a relaxed LiTm4Zn crystal.

Calculated values
- density (Mg/m³) = 7.3
- formation energy (kJ per mole of atoms) = 24

Lattice parameters (Å, degrees): 4.9048 4.9048 7.0945 90.00 90.00 90.00
Last column: nearest neighbours and their distance in Å.
Element x y z (fractional)
1 Li 0.0000 0.0000 0.0000  8 Tm 3.08
2 Tm 0.0000 0.5000 0.2625  2 Zn 2.98, 2 Li 3.08
3 Tm 0.0000 0.5000 0.7375  2 Zn 2.98, 2 Li 3.08
4 Tm 0.5000 0.0000 0.2625  2 Zn 2.98, 2 Li 3.08
5 Tm 0.5000 0.0000 0.7375  2 Zn 2.98, 2 Li 3.08
6 Zn 0.5000 0.5000 0.5000  8 Tm 2.98


Record 8
## Er6Cd2Pt (GGA-PBE)

Data for a relaxed Er6Cd2Pt crystal.

Calculated values
- density (Mg/m³) = 9.2
- formation energy (kJ per mole of atoms) = -31

Lattice parameters (Å, degrees): 6.7549 7.3828 12.1598 90.00 121.61 90.00
Last column: nearest neighbours and their distance in Å.
Element x y z (fractional)
1 Er 0.1302 0.0078 0.2451  1 Pt 2.78
2 Er 0.1302 0.4922 0.7451  1 Pt 2.78
3 Er 0.1994 0.6975 0.0398  1 Pt 2.74
4 Er 0.1994 0.8025 0.5398  1 Pt 2.74
5 Er 0.3584 0.1761 0.0437  1 Pt 2.73
6 Er 0.3584 0.3239 0.5437  1 Pt 2.73
7 Er 0.6416 0.6761 0.4563  1 Pt 2.73
8 Er 0.6416 0.8239 0.9563  1 Pt 2.73
9 Er 0.8006 0.1975 0.4602  1 Pt 2.74
10 Er 0.8006 0.3025 0.9602  1 Pt 2.74
11 Er 0.8698 0.5078 0.2549  1 Pt 2.78
12 Er 0.8698 0.9922 0.7549  1 Pt 2.78
13 Cd 0.3129 0.0992 0.7517  6 Er 3.08-3.28
14 Cd 0.3129 0.4008 0.2517  6 Er 3.08-3.28
15 Cd 0.6871 0.5992 0.7483  6 Er 3.08-3.28
16 Cd 0.6871 0.9008 0.2483  6 Er 3.08-3.28
17 Pt 0.5000 0.0000 0.5000  6 Er 2.73-2.78
18 Pt 0.5000 0.5000 0.0000  6 Er 2.73-2.78